No. 1
Density functional theory data (PBE) for a relaxed SrCu3Os crystal.

Output
Crystal system: cubic
Polymorph energy (0 for the lowest one): 0 meV/atom
ΔE_f: 0.565 eV/atom
E: -4.48 eV/atom

abc: 4.7488 4.7488 4.7488
angles: 90.00 90.00 90.00
Space group Pm-3m (No. 221)
One atom of each set of equivalent atoms:
Sr  0.0000  0.0000  0.0000 [1 per cell]
Cu  0.0000  0.5000  0.5000 [3 per cell]
Os  0.5000  0.5000  0.5000 [1 per cell]

No. 2
Density functional theory data (PBE) for a relaxed Ac5TlIn4 crystal.

Output
Crystal system: tetragonal
ΔE_f: -0.408 eV/atom
E: -3.79 eV/atom

abc: 4.0961 4.0961 20.7450
angles: 90.00 90.00 90.00
Space group P4/mmm (No. 123)
One atom of each set of equivalent atoms:
Ac  0.0000  0.0000  0.0000 [1 per cell]
Ac  0.0000  0.0000  0.1988 [2 per cell]
Ac  0.0000  0.0000  0.3975 [2 per cell]
Tl  0.5000  0.5000  0.5000 [1 per cell]
In  0.5000  0.5000  0.0993 [2 per cell]
In  0.5000  0.5000  0.2983 [2 per cell]

No. 3
Density functional theory data (PBE) for a relaxed U2Si6Ni3 crystal.

Output
Energy relative to the elements, uncorrected: -0.508 eV/atom
Crystal system: orthorhombic
E: -7.09 eV/atom

abc: 4.0068 21.0816 3.9937
angles: 90.00 90.00 90.00
Space group Cmmm (No. 65)
One atom of each set of equivalent atoms:
U  0.0000  0.1707  0.0000 [4 per cell]
Si  0.0000  0.0605  0.5000 [4 per cell]
Si  0.0000  0.2792  0.5000 [4 per cell]
Si  0.0000  0.4394  0.0000 [4 per cell]
Ni  0.0000  0.0000  0.0000 [2 per cell]
Ni  0.0000  0.3859  0.5000 [4 per cell]

No. 4
Density functional theory data (PBE) for a relaxed Ac3Pr3MgTe8 crystal.

Output
Energy relative to the elements, uncorrected: -1.396 eV/atom
Crystal system: trigonal
E: -4.96 eV/atom

abc: 9.1692 9.1692 22.8028
angles: 90.00 90.00 120.00
Space group R-3m (No. 166, hexagonal axes)
One atom of each set of equivalent atoms:
Ac  0.0000  0.5000  0.0000 [9 per cell]
Pr  0.0000  0.5000  0.5000 [9 per cell]
Mg  0.0000  0.0000  0.5000 [3 per cell]
Te  0.0000  0.0000  0.2460 [6 per cell]
Te  0.0126  0.5063  0.2432 [18 per cell]